Record 1
# PBEsol KScB4H16, optimized geometry
# Raw total energy   -4.29 eV per atom
# Symmetry   No. 62
# Magnetization   0.0000 μB per atom
data_KScB4H16
_chemical_formula_sum 'K4 Sc4 B16 H64'
_space_group_name_H-M_alt 'P 1'
_space_group_IT_number 1
_space_group_name_Hall 'P 1'
_cell_length_a 8.3694
_cell_length_b 8.7997
_cell_length_c 12.1388
_cell_angle_alpha 90.00
_cell_angle_beta 90.00
_cell_angle_gamma 90.00
loop_
_atom_site_label
_atom_site_fract_x
_atom_site_fract_y
_atom_site_fract_z
K1 0.2500 0.6272 0.0976
K2 0.7500 0.3728 0.9024
K3 0.7500 0.1272 0.4024
K4 0.2500 0.8728 0.5976
B1 0.9719 0.6856 0.9231
B2 0.2500 0.0716 0.8753
B3 0.0281 0.1856 0.5769
B4 0.7500 0.5716 0.6247
B5 0.0281 0.3144 0.0769
B6 0.7500 0.9284 0.1247
B7 0.5281 0.8144 0.4231
B8 0.5281 0.6856 0.9231
B9 0.7500 0.0341 0.8278
B10 0.2500 0.5341 0.6722
B11 0.7500 0.4659 0.3278
B12 0.9719 0.8144 0.4231
B13 0.4719 0.3144 0.0769
B14 0.4719 0.1856 0.5769
B15 0.2500 0.4284 0.3753
B16 0.2500 0.9659 0.1722
H1 0.7500 0.5906 0.2803
H2 0.9126 0.3935 0.0933
H3 0.3681 0.0314 0.9305
H4 0.1142 0.1912 0.6599
H5 0.3681 0.4686 0.4305
H6 0.3883 0.1390 0.4991
H7 0.1311 0.5350 0.6104
H8 0.2500 0.8619 0.2370
H9 0.1117 0.1390 0.4991
H10 0.8689 0.0350 0.8896
H11 0.4925 0.6811 0.4457
H12 0.5874 0.1065 0.5933
H13 0.9925 0.3189 0.5543
H14 0.6142 0.8088 0.3401
H15 0.7500 0.7874 0.1257
H16 0.6319 0.9686 0.0695
H17 0.2500 0.4094 0.7197
H18 0.2500 0.2874 0.3743
H19 0.7500 0.5158 0.7151
H20 0.7500 0.1381 0.7630
H21 0.9925 0.1811 0.0543
H22 0.0874 0.6065 0.9067
H23 0.8883 0.8610 0.5009
H24 0.6142 0.6912 0.8401
H25 0.4925 0.8189 0.9457
H26 0.3689 0.5350 0.6104
H27 0.2500 0.0906 0.2197
H28 0.3858 0.1912 0.6599
H29 0.6311 0.0350 0.8896
H30 0.8689 0.4650 0.3896
H31 0.9126 0.1065 0.5933
H32 0.5075 0.3189 0.5543
H33 0.1142 0.3088 0.1599
H34 0.5874 0.3935 0.0933
H35 0.4126 0.6065 0.9067
H36 0.6117 0.8610 0.5009
H37 0.3883 0.3610 0.9991
H38 0.2500 0.2126 0.8743
H39 0.3858 0.3088 0.1599
H40 0.6311 0.4650 0.3896
H41 0.2500 0.0158 0.7849
H42 0.7500 0.3619 0.2630
H43 0.1319 0.4686 0.4305
H44 0.8858 0.6912 0.8401
H45 0.7500 0.9842 0.2151
H46 0.3689 0.9650 0.1104
H47 0.6319 0.5314 0.5695
H48 0.8858 0.8088 0.3401
H49 0.8681 0.9686 0.0695
H50 0.1117 0.3610 0.9991
H51 0.6117 0.6390 0.0009
H52 0.4126 0.8935 0.4067
H53 0.0075 0.6811 0.4457
H54 0.0874 0.8935 0.4067
H55 0.0075 0.8189 0.9457
H56 0.1319 0.0314 0.9305
H57 0.7500 0.9094 0.7803
H58 0.7500 0.7126 0.6257
H59 0.1311 0.9650 0.1104
H60 0.8883 0.6390 0.0009
H61 0.5075 0.1811 0.0543
H62 0.8681 0.5314 0.5695
H63 0.2500 0.6381 0.7370
H64 0.2500 0.4842 0.2849
Sc1 0.2500 0.3361 0.5500
Sc2 0.7500 0.8361 0.9500
Sc3 0.2500 0.1639 0.0500
Sc4 0.7500 0.6639 0.4500

Record 2
# PBEsol LaB2H, optimized geometry
# Raw total energy   -5.61 eV per atom
# Symmetry   No. 141
# Magnetization   0.0000 μB per atom
data_LaB2H
_chemical_formula_sum 'La2 B4 H2'
_space_group_name_H-M_alt 'P 1'
_space_group_IT_number 1
_space_group_name_Hall 'P 1'
_cell_length_a 3.2406
_cell_length_b 3.2406
_cell_length_c 9.6780
_cell_angle_alpha 99.64
_cell_angle_beta 99.64
_cell_angle_gamma 90.00
loop_
_atom_site_label
_atom_site_fract_x
_atom_site_fract_y
_atom_site_fract_z
B1 0.6250 0.3750 0.7500
B2 0.6250 0.3750 0.2500
B3 0.6250 0.8750 0.2500
B4 0.1250 0.3750 0.7500
La1 0.0000 0.0000 0.0000
La2 0.2500 0.7500 0.5000
H1 0.7500 0.2500 0.5000
H2 0.5000 0.5000 0.0000

Record 3
# PBEsol LaB2HN, optimized geometry
# Raw total energy   -3.79 eV per atom
# Symmetry   No. 123
# Magnetization   0.0063 μB per atom
data_LaB2HN
_chemical_formula_sum 'La1 B2 H1 N1'
_space_group_name_H-M_alt 'P 1'
_space_group_IT_number 1
_space_group_name_Hall 'P 1'
_cell_length_a 4.1830
_cell_length_b 5.2566
_cell_length_c 5.2566
_cell_angle_alpha 90.00
_cell_angle_beta 90.00
_cell_angle_gamma 90.00
loop_
_atom_site_label
_atom_site_fract_x
_atom_site_fract_y
_atom_site_fract_z
N1 0.5000 0.0000 0.0000
La1 0.0000 0.0000 0.0000
H1 0.5000 0.5000 0.5000
B1 0.0000 0.5000 0.0000
B2 0.0000 0.0000 0.5000

Record 4
# PBEsol LiBH4, optimized geometry
# Symmetry   No. 40
# Polymorph energy (0 for the lowest one)   18 meV/atom
# Magnetization   0.0000 μB per atom
data_LiBH4
_chemical_formula_sum 'Li2 B2 H8'
_space_group_name_H-M_alt 'P 1'
_space_group_IT_number 1
_space_group_name_Hall 'P 1'
_cell_length_a 3.9429
_cell_length_b 3.9429
_cell_length_c 6.1827
_cell_angle_alpha 90.00
_cell_angle_beta 90.00
_cell_angle_gamma 90.73
loop_
_atom_site_label
_atom_site_fract_x
_atom_site_fract_y
_atom_site_fract_z
H1 0.7411 0.7729 0.7500
H2 0.1667 0.5275 0.0885
H3 0.8079 0.2579 0.2500
H4 0.1667 0.5275 0.4115
H5 0.7729 0.7411 0.2500
H6 0.5275 0.1667 0.9115
H7 0.2579 0.8079 0.7500
H8 0.5275 0.1667 0.5885
B1 0.9846 0.5156 0.2500
B2 0.5156 0.9846 0.7500
Li1 0.9996 0.9996 0.5000
Li2 0.9996 0.9996 0.0000

Record 5
# PBEsol LiB5H5, optimized geometry
# Raw total energy   -5.12 eV per atom
# Symmetry   No. 181
# Magnetization   0.0000 μB per atom
data_LiB5H5
_chemical_formula_sum 'Li6 B30 H30'
_space_group_name_H-M_alt 'P 1'
_space_group_IT_number 1
_space_group_name_Hall 'P 1'
_cell_length_a 6.9822
_cell_length_b 6.9822
_cell_length_c 14.5709
_cell_angle_alpha 90.00
_cell_angle_beta 90.00
_cell_angle_gamma 120.00
loop_
_atom_site_label
_atom_site_fract_x
_atom_site_fract_y
_atom_site_fract_z
B1 0.1221 0.6323 0.7487
B2 0.7334 0.6083 0.9664
B3 0.4898 0.3677 0.9179
B4 0.6529 0.3058 0.3333
B5 0.3471 0.6942 0.3333
B6 0.8749 0.6083 0.7003
B7 0.6529 0.3471 0.0000
B8 0.3677 0.8779 0.2513
B9 0.6323 0.5102 0.0821
B10 0.3677 0.4898 0.0821
B11 0.3471 0.6529 0.0000
B12 0.2666 0.8749 0.3670
B13 0.3917 0.1251 0.2997
B14 0.5102 0.8779 0.4154
B15 0.3917 0.2666 0.0336
B16 0.6942 0.3471 0.6667
B17 0.2666 0.3917 0.9664
B18 0.8779 0.3677 0.7487
B19 0.1251 0.7334 0.6330
B20 0.3058 0.6529 0.6667
B21 0.8779 0.5102 0.5846
B22 0.1251 0.3917 0.7003
B23 0.5102 0.6323 0.9179
B24 0.1221 0.4898 0.5846
B25 0.6083 0.7334 0.0336
B26 0.4898 0.1221 0.4154
B27 0.8749 0.2666 0.6330
B28 0.6323 0.1221 0.2513
B29 0.6083 0.8749 0.2997
B30 0.7334 0.1251 0.3670
H1 0.2471 0.4942 0.3333
H2 0.5058 0.7529 0.6667
H3 0.0842 0.2674 0.9360
H4 0.1832 0.2674 0.7307
H5 0.7529 0.2471 0.0000
H6 0.7339 0.5375 0.1526
H7 0.5375 0.7339 0.8474
H8 0.0842 0.8168 0.3974
H9 0.2471 0.7529 0.0000
H10 0.7529 0.5058 0.3333
H11 0.9158 0.7326 0.9360
H12 0.8168 0.7326 0.7307
H13 0.8037 0.5375 0.5141
H14 0.2674 0.1832 0.2693
H15 0.7326 0.9158 0.0640
H16 0.1963 0.7339 0.8193
H17 0.2674 0.0842 0.0640
H18 0.9158 0.1832 0.3974
H19 0.8037 0.2661 0.8193
H20 0.1963 0.4625 0.5141
H21 0.2661 0.8037 0.1807
H22 0.5375 0.8037 0.4859
H23 0.7326 0.8168 0.2693
H24 0.2661 0.4625 0.1526
H25 0.4625 0.2661 0.8474
H26 0.8168 0.0842 0.6026
H27 0.4942 0.2471 0.6667
H28 0.7339 0.1963 0.1807
H29 0.1832 0.9158 0.6026
H30 0.4625 0.1963 0.4859
Li1 0.5000 0.0000 0.0891
Li2 0.0000 0.5000 0.9109
Li3 0.5000 0.0000 0.5776
Li4 0.0000 0.5000 0.4224
Li5 0.5000 0.5000 0.7558
Li6 0.5000 0.5000 0.2442

Record 6
# PBEsol LiBH4, optimized geometry
# Symmetry   No. 216
# Polymorph energy (0 for the lowest one)   54 meV/atom
# Magnetization   0.0000 μB per atom
data_LiBH4
_chemical_formula_sum 'Li1 B1 H4'
_space_group_name_H-M_alt 'P 1'
_space_group_IT_number 1
_space_group_name_Hall 'P 1'
_cell_length_a 3.9824
_cell_length_b 3.9824
_cell_length_c 3.9824
_cell_angle_alpha 60.00
_cell_angle_beta 60.00
_cell_angle_gamma 60.00
loop_
_atom_site_label
_atom_site_fract_x
_atom_site_fract_y
_atom_site_fract_z
H1 0.3747 0.3747 0.8760
H2 0.3747 0.8760 0.3747
H3 0.3747 0.3747 0.3747
H4 0.8760 0.3747 0.3747
B1 0.5000 0.5000 0.5000
Li1 0.0000 0.0000 0.0000

Record 7
# PBEsol LiB6H6, optimized geometry
# Symmetry   No. 202
# Polymorph energy (0 for the lowest one)   49 meV/atom
# Magnetization   0.0000 μB per atom
data_LiB6H6
_chemical_formula_sum 'Li2 B12 H12'
_space_group_name_H-M_alt 'P 1'
_space_group_IT_number 1
_space_group_name_Hall 'P 1'
_cell_length_a 6.9525
_cell_length_b 6.9525
_cell_length_c 6.9525
_cell_angle_alpha 60.00
_cell_angle_beta 60.00
_cell_angle_gamma 60.00
loop_
_atom_site_label
_atom_site_fract_x
_atom_site_fract_y
_atom_site_fract_z
H1 0.8938 0.5983 0.1062
H2 0.5983 0.8938 0.4017
H3 0.1062 0.4017 0.8938
H4 0.4017 0.5983 0.8938
H5 0.8938 0.4017 0.5983
H6 0.4017 0.1062 0.5983
H7 0.8938 0.1062 0.4017
H8 0.4017 0.8938 0.1062
H9 0.1062 0.5983 0.4017
H10 0.5983 0.4017 0.1062
H11 0.5983 0.1062 0.8938
H12 0.1062 0.8938 0.5983
B1 0.9427 0.0573 0.2353
B2 0.9427 0.2353 0.7647
B3 0.0573 0.7647 0.2353
B4 0.7647 0.2353 0.0573
B5 0.0573 0.2353 0.9427
B6 0.2353 0.0573 0.7647
B7 0.7647 0.9427 0.2353
B8 0.2353 0.9427 0.0573
B9 0.0573 0.9427 0.7647
B10 0.7647 0.0573 0.9427
B11 0.2353 0.7647 0.9427
B12 0.9427 0.7647 0.0573
Li1 0.2500 0.2500 0.2500
Li2 0.7500 0.7500 0.7500

Record 8
# PBEsol LiB6H6, optimized geometry
# Symmetry   No. 205
# Polymorph energy (0 for the lowest one)   0 meV/atom
# Magnetization   0.0000 μB per atom
data_LiB6H6
_chemical_formula_sum 'Li8 B48 H48'
_space_group_name_H-M_alt 'P 1'
_space_group_IT_number 1
_space_group_name_Hall 'P 1'
_cell_length_a 9.4010
_cell_length_b 9.4010
_cell_length_c 9.4010
_cell_angle_alpha 90.00
_cell_angle_beta 90.00
_cell_angle_gamma 90.00
loop_
_atom_site_label
_atom_site_fract_x
_atom_site_fract_y
_atom_site_fract_z
B1 0.5901 0.8764 0.4083
B2 0.9622 0.5387 0.3282
B3 0.4083 0.9099 0.3764
B4 0.9613 0.6718 0.4622
B5 0.8282 0.9622 0.9613
B6 0.9083 0.5901 0.6236
B7 0.1718 0.4622 0.5387
B8 0.8764 0.4083 0.5901
B9 0.0901 0.8764 0.0917
B10 0.6718 0.0378 0.4613
B11 0.4622 0.5387 0.1718
B12 0.1236 0.9083 0.9099
B13 0.0917 0.4099 0.3764
B14 0.4622 0.9613 0.6718
B15 0.9613 0.8282 0.9622
B16 0.6236 0.9083 0.5901
B17 0.0378 0.4613 0.6718
B18 0.8282 0.5378 0.4613
B19 0.1718 0.0378 0.0387
B20 0.4099 0.3764 0.0917
B21 0.3282 0.9622 0.5387
B22 0.3764 0.4083 0.9099
B23 0.3764 0.0917 0.4099
B24 0.5378 0.4613 0.8282
B25 0.6236 0.5917 0.0901
B26 0.0387 0.1718 0.0378
B27 0.0378 0.0387 0.1718
B28 0.4083 0.5901 0.8764
B29 0.5917 0.0901 0.6236
B30 0.5378 0.0387 0.3282
B31 0.1236 0.5917 0.4099
B32 0.9099 0.3764 0.4083
B33 0.0917 0.0901 0.8764
B34 0.5387 0.1718 0.4622
B35 0.4613 0.8282 0.5378
B36 0.3282 0.5378 0.0387
B37 0.9622 0.9613 0.8282
B38 0.5901 0.6236 0.9083
B39 0.8764 0.0917 0.0901
B40 0.9083 0.9099 0.1236
B41 0.4099 0.1236 0.5917
B42 0.0901 0.6236 0.5917
B43 0.5917 0.4099 0.1236
B44 0.4613 0.6718 0.0378
B45 0.5387 0.3282 0.9622
B46 0.9099 0.1236 0.9083
B47 0.6718 0.4622 0.9613
B48 0.0387 0.3282 0.5378
H1 0.5619 0.0650 0.2044
H2 0.4350 0.7044 0.5619
H3 0.9350 0.7956 0.4381
H4 0.5650 0.2044 0.9381
H5 0.4381 0.5650 0.2956
H6 0.4381 0.9350 0.7956
H7 0.2956 0.0619 0.0650
H8 0.8452 0.2152 0.8455
H9 0.8455 0.8452 0.2152
H10 0.8455 0.6548 0.7152
H11 0.6548 0.7848 0.3455
H12 0.7848 0.3455 0.6548
H13 0.2848 0.1545 0.3452
H14 0.3452 0.2152 0.6545
H15 0.6545 0.1548 0.7152
H16 0.5619 0.4350 0.7044
H17 0.3455 0.8452 0.2848
H18 0.7044 0.9381 0.9350
H19 0.0650 0.2044 0.5619
H20 0.2044 0.5619 0.0650
H21 0.0619 0.4350 0.7956
H22 0.0619 0.0650 0.2956
H23 0.6545 0.3452 0.2152
H24 0.9381 0.5650 0.2044
H25 0.2956 0.4381 0.5650
H26 0.7044 0.5619 0.4350
H27 0.8452 0.2848 0.3455
H28 0.2152 0.8455 0.8452
H29 0.3452 0.2848 0.1545
H30 0.9381 0.9350 0.7044
H31 0.7152 0.8455 0.6548
H32 0.1545 0.3452 0.2848
H33 0.0650 0.2956 0.0619
H34 0.3455 0.6548 0.7848
H35 0.7956 0.4381 0.9350
H36 0.1545 0.1548 0.7848
H37 0.2044 0.9381 0.5650
H38 0.1548 0.7848 0.1545
H39 0.5650 0.2956 0.4381
H40 0.2152 0.6545 0.3452
H41 0.6548 0.7152 0.8455
H42 0.2848 0.3455 0.8452
H43 0.9350 0.7044 0.9381
H44 0.7956 0.0619 0.4350
H45 0.7848 0.1545 0.1548
H46 0.7152 0.6545 0.1548
H47 0.4350 0.7956 0.0619
H48 0.1548 0.7152 0.6545
Li1 0.3553 0.3553 0.3553
Li2 0.8553 0.1447 0.6447
Li3 0.1447 0.6447 0.8553
Li4 0.6447 0.6447 0.6447
Li5 0.6447 0.8553 0.1447
Li6 0.8553 0.3553 0.1447
Li7 0.3553 0.1447 0.8553
Li8 0.1447 0.8553 0.3553